## Al2SbS (PBE)

Data for a relaxed structure of Al2SbS.

For the uncorrected formation energy, the calculation gives 0.151 eV per atom. The uncorrected energy comes out at -3.782 eV/atom. The relative energy among the computed polymorphs comes out at 0.3575 eV/atom. The density of states at the Fermi level is 0.57 states/eV/atom.

The structure belongs to space group Fm-3m (No. 225); the cell edges are 6.7822, 6.7822 and 6.7822 Å and the angles 90.00°, 90.00° and 90.00°. The asymmetric unit holds Al at (0.2500, 0.2500, 0.2500), Sb at (0.0000, 0.0000, 0.0000) and S at (0.0000, 0.0000, 0.5000).


## TlSb2WI (PBE)

Data for a relaxed structure of TlSb2WI.

For the uncorrected formation energy, the calculation gives 0.452 eV per atom. The uncorrected energy comes out at -4.570 eV/atom. The relative energy among the computed polymorphs comes out at 0.0000 eV/atom. The density of states at the Fermi level is 0.62 states/eV/atom.

The structure belongs to space group P4/mmm (No. 123); the cell edges are 5.2232, 5.2232 and 6.1157 Å and the angles 90.00°, 90.00° and 90.00°. The asymmetric unit holds Tl at (0.0000, 0.0000, 0.0000), Sb at (0.0000, 0.5000, 0.5000), W at (0.5000, 0.5000, 0.5000) and I at (0.5000, 0.5000, 0.0000).


## MnCoSi2 (PBE)

Data for a relaxed structure of MnCoSi2.

For the uncorrected formation energy, the calculation gives -0.284 eV per atom. The uncorrected energy comes out at -7.065 eV/atom. The relative energy among the computed polymorphs comes out at 0.2208 eV/atom. The density of states at the Fermi level is 0.53 states/eV/atom.

The structure belongs to space group R-3m (No. 166, hexagonal axes); the cell edges are 2.6572, 2.6572 and 22.6104 Å and the angles 90.00°, 90.00° and 120.00°. The asymmetric unit holds Mn at (0.0000, 0.0000, 0.0000), Co at (0.0000, 0.0000, 0.5000) and Si at (0.0000, 0.0000, 0.2472).


## KBiTeI2 (PBE)

Data for a relaxed structure of KBiTeI2.

For the uncorrected formation energy, the calculation gives -0.536 eV per atom. The uncorrected energy comes out at -2.780 eV/atom. The relative energy among the computed polymorphs comes out at 0.0000 eV/atom. The density of states at the Fermi level is 0.30 states/eV/atom.

The structure belongs to space group P4/mmm (No. 123); the cell edges are 6.3043, 6.3043 and 5.9592 Å and the angles 90.00°, 90.00° and 90.00°. The asymmetric unit holds K at (0.0000, 0.0000, 0.0000), Bi at (0.5000, 0.5000, 0.5000), Te at (0.5000, 0.5000, 0.0000) and I at (0.0000, 0.5000, 0.5000).


## TiBe3O (PBE)

Data for a relaxed structure of TiBe3O.

For the uncorrected formation energy, the calculation gives 2.134 eV per atom. The uncorrected energy comes out at -2.672 eV/atom. The relative energy among the computed polymorphs comes out at 2.2421 eV/atom. The density of states at the Fermi level is 0.52 states/eV/atom.

The structure belongs to space group Pm-3m (No. 221); the cell edges are 4.5729, 4.5729 and 4.5729 Å and the angles 90.00°, 90.00° and 90.00°. The asymmetric unit holds Ti at (0.0000, 0.0000, 0.0000), Be at (0.0000, 0.0000, 0.5000) and O at (0.5000, 0.5000, 0.5000).


## MgPaNi (PBE)

Data for a relaxed structure of MgPaNi.

The formation enthalpy at 0 K is -0.123 eV/atom. The uncorrected energy comes out at -5.747 eV/atom. The relative energy among the computed polymorphs comes out at 0.0000 eV/atom. The density of states at the Fermi level is 0.76 states/eV/atom.

The structure belongs to space group I4mm (No. 107); the cell edges are 3.1056, 3.1056 and 12.0533 Å and the angles 90.00°, 90.00° and 90.00°. The asymmetric unit holds Mg at (0.0000, 0.0000, 0.0000), Pa at (0.0000, 0.0000, 0.2774) and Ni at (0.0000, 0.0000, 0.6392).


## Hf2Zr8H (PBE)

Data for a relaxed structure of Hf2Zr8H.

The uncorrected energy comes out at -8.364 eV/atom. The density of states at the Fermi level is 0.84 states/eV/atom.

The structure belongs to space group P-1 (No. 2); the cell edges are 5.9985, 6.0225 and 7.8316 Å and the angles 67.49°, 79.94° and 62.78°. The asymmetric unit holds Hf at (0.9998, 0.2093, 0.0818), Zr at (0.2501, 0.1407, 0.7068), Zr at (0.2499, 0.3483, 0.2932), Zr at (0.2551, 0.7569, 0.5001), Zr at (0.5000, 0.2989, 0.9018) and H at (0.0000, 0.5000, 0.5000).


## Ce3Co7Ni2 (PBE)

Data for a relaxed structure of Ce3Co7Ni2.

The formation enthalpy at 0 K is -0.233 eV/atom. The uncorrected energy comes out at -6.825 eV/atom. The density of states at the Fermi level is 1.16 states/eV/atom.

The structure belongs to space group R-3m (No. 166, hexagonal axes); the cell edges are 4.8885, 4.8885 and 25.0139 Å and the angles 90.00°, 90.00° and 120.00°. The asymmetric unit holds Ce at (0.0000, 0.0000, 0.0000), Ce at (0.0000, 0.0000, 0.1380), Co at (0.0000, 0.0000, 0.5000), Co at (0.9997, 0.4999, 0.0812) and Ni at (0.0000, 0.0000, 0.3334).


## Sc2TaTe (PBE)

Data for a relaxed structure of Sc2TaTe.

For the uncorrected formation energy, the calculation gives -0.328 eV per atom. The uncorrected energy comes out at -7.243 eV/atom. The relative energy among the computed polymorphs comes out at 0.0000 eV/atom. The density of states at the Fermi level is 1.05 states/eV/atom.

The structure belongs to space group P4/mmm (No. 123); the cell edges are 3.6531, 3.6531 and 6.3962 Å and the angles 90.00°, 90.00° and 90.00°. The asymmetric unit holds Sc at (0.0000, 0.0000, 0.2437), Ta at (0.5000, 0.5000, 0.0000) and Te at (0.5000, 0.5000, 0.5000).


## Mg15Cr (PBE)

Data for a relaxed structure of Mg15Cr.

The formation enthalpy at 0 K is 0.058 eV/atom. The uncorrected energy comes out at -2.038 eV/atom. The density of states at the Fermi level is 0.28 states/eV/atom.

The structure belongs to space group P-6m2 (No. 187); the cell edges are 6.3056, 6.3056 and 10.3694 Å and the angles 90.00°, 90.00° and 120.00°. The asymmetric unit holds Mg at (0.0000, 0.0000, 0.0000), Mg at (0.0019, 0.5009, 0.0000), Mg at (0.1642, 0.3283, 0.2568), Mg at (0.5008, 0.0017, 0.5000), Mg at (0.6667, 0.3333, 0.2488) and Cr at (0.0000, 0.0000, 0.5000).


## NiBBr2 (PBE)

Data for a relaxed structure of NiBBr2.

For the uncorrected formation energy, the calculation gives 1.235 eV per atom. The uncorrected energy comes out at -2.717 eV/atom. The relative energy among the computed polymorphs comes out at 0.3225 eV/atom. The density of states at the Fermi level is 1.66 states/eV/atom.

The structure belongs to space group Fm-3m (No. 225); the cell edges are 6.6242, 6.6242 and 6.6242 Å and the angles 90.00°, 90.00° and 90.00°. The asymmetric unit holds Ni at (0.0000, 0.0000, 0.0000), B at (0.0000, 0.0000, 0.5000) and Br at (0.2500, 0.2500, 0.2500).


## PrY2Sc6 (PBE)

Data for a relaxed structure of PrY2Sc6.

The formation enthalpy at 0 K is 0.221 eV/atom. The uncorrected energy comes out at -5.967 eV/atom. The density of states at the Fermi level is 1.79 states/eV/atom.

The structure belongs to space group P-3m1 (No. 164); the cell edges are 6.9704, 6.9704 and 5.9143 Å and the angles 90.00°, 90.00° and 120.00°. The asymmetric unit holds Pr at (0.0000, 0.0000, 0.0000), Y at (0.3333, 0.6667, 0.1905) and Sc at (0.1886, 0.3771, 0.6813).


## CaTb6Sm12 (PBE)

Data for a relaxed structure of CaTb6Sm12.

The formation enthalpy at 0 K is 0.191 eV/atom. The uncorrected energy comes out at -4.357 eV/atom. The density of states at the Fermi level is 1.61 states/eV/atom.

The structure belongs to space group R-3m (No. 166, hexagonal axes); the cell edges are 13.3513, 13.3513 and 12.9027 Å and the angles 90.00°, 90.00° and 120.00°. The asymmetric unit holds Ca at (0.0000, 0.0000, 0.0000), Tb at (0.0383, 0.5191, 0.6174), Sm at (0.0000, 0.2609, 0.5000) and Sm at (0.0911, 0.1822, 0.2676).


## Y2CrPt (PBE)

Data for a relaxed structure of Y2CrPt.

The formation enthalpy at 0 K is -0.414 eV/atom. The uncorrected energy comes out at -7.562 eV/atom. The relative energy among the computed polymorphs comes out at 0.0000 eV/atom. The density of states at the Fermi level is 0.49 states/eV/atom.

The structure belongs to space group P4/mmm (No. 123); the cell edges are 4.9562, 4.9562 and 3.5842 Å and the angles 90.00°, 90.00° and 90.00°. The asymmetric unit holds Y at (0.0000, 0.5000, 0.0000), Cr at (0.0000, 0.0000, 0.5000) and Pt at (0.5000, 0.5000, 0.5000).


## Ba2Li10Mg (PBE)

Data for a relaxed structure of Ba2Li10Mg.

The formation enthalpy at 0 K is 0.102 eV/atom. The uncorrected energy comes out at -1.788 eV/atom. The density of states at the Fermi level is 0.63 states/eV/atom.

The structure belongs to space group Pbam (No. 55); the cell edges are 5.3481, 20.1502 and 7.2337 Å and the angles 90.00°, 90.00° and 90.00°. The asymmetric unit holds Ba at (0.2302, 0.1519, 0.0000), Li at (0.0262, 0.7159, 0.5000), Li at (0.0426, 0.5730, 0.5000), Li at (0.0541, 0.8581, 0.5000), Li at (0.2362, 0.4667, 0.1832) and Mg at (0.0000, 0.0000, 0.5000).


## TbPr3Ru8 (PBE)

Data for a relaxed structure of TbPr3Ru8.

The formation enthalpy at 0 K is -0.139 eV/atom. The uncorrected energy comes out at -7.904 eV/atom. The density of states at the Fermi level is 1.38 states/eV/atom.

The structure belongs to space group R3m (No. 160, hexagonal axes); the cell edges are 5.4161, 5.4161 and 26.6973 Å and the angles 90.00°, 90.00° and 120.00°. The asymmetric unit holds Tb at (0.0000, 0.0000, 0.0000), Pr at (0.0000, 0.0000, 0.1246), Pr at (0.0000, 0.0000, 0.4994), Pr at (0.0000, 0.0000, 0.6244), Ru at (0.0000, 0.0000, 0.3176), Ru at (0.0000, 0.0000, 0.8171), Ru at (0.1695, 0.3391, 0.8975) and Ru at (0.1721, 0.3442, 0.3950).


## HfPa4Ga12 (PBE)

Data for a relaxed structure of HfPa4Ga12.

The formation enthalpy at 0 K is -0.401 eV/atom. The uncorrected energy comes out at -5.357 eV/atom. The density of states at the Fermi level is 0.78 states/eV/atom.

The structure belongs to space group Im-3m (No. 229); the cell edges are 8.7296, 8.7296 and 8.7296 Å and the angles 90.00°, 90.00° and 90.00°. The asymmetric unit holds Hf at (0.0000, 0.0000, 0.0000), Pa at (0.2500, 0.2500, 0.2500), Ga at (0.0000, 0.0000, 0.3062) and Ga at (0.0000, 0.2500, 0.5000).


## NdEr3Tm8 (PBE)

Data for a relaxed structure of NdEr3Tm8.

The formation enthalpy at 0 K is 0.332 eV/atom. The uncorrected energy comes out at -4.187 eV/atom. The density of states at the Fermi level is 1.42 states/eV/atom.

The structure belongs to space group Immm (No. 71); the cell edges are 6.3261, 11.1629 and 11.2274 Å and the angles 90.00°, 90.00° and 90.00°. The asymmetric unit holds Nd at (0.0000, 0.0000, 0.0000), Er at (0.0000, 0.0000, 0.5000), Er at (0.0000, 0.5000, 0.2424), Tm at (0.0000, 0.1693, 0.2508) and Tm at (0.2467, 0.2568, 0.0000).


## TiRe3Mo4 (PBE)

Data for a relaxed structure of TiRe3Mo4.

The formation enthalpy at 0 K is -0.101 eV/atom. The uncorrected energy comes out at -11.172 eV/atom. The density of states at the Fermi level is 0.90 states/eV/atom.

The structure belongs to space group Pmna (No. 53); the cell edges are 6.2628, 6.2924 and 6.2721 Å and the angles 90.00°, 90.00° and 90.00°. The asymmetric unit holds Ti at (0.0000, 0.0000, 0.0000), Re at (0.0000, 0.5000, 0.0000), Re at (0.2500, 0.2486, 0.2500), Mo at (0.0000, 0.0000, 0.5000), Mo at (0.0000, 0.5000, 0.5000) and Mo at (0.2500, 0.2492, 0.7500).


## Sr2LiHg6Pb (PBE)

Data for a relaxed structure of Sr2LiHg6Pb.

The formation enthalpy at 0 K is -0.288 eV/atom. The uncorrected energy comes out at -1.368 eV/atom. The density of states at the Fermi level is 0.48 states/eV/atom.

The structure belongs to space group P-1 (No. 2); the cell edges are 6.0557, 7.0998 and 7.8658 Å and the angles 76.25°, 68.77° and 67.12°. The asymmetric unit holds Sr at (0.0012, 0.2493, 0.2356), Li at (0.5000, 0.0000, 0.5000), Hg at (0.0233, 0.2888, 0.6555), Hg at (0.3430, 0.9584, 0.8922), Hg at (0.4665, 0.6933, 0.3543) and Pb at (0.5000, 0.5000, 0.0000).